NaSe2Br: relaxed, PBE.

a = 3.7156 Å, b = 3.7156 Å, c = 27.2654 Å
α = 90.00°, β = 90.00°, γ = 120.00°
With the nearest neighbours (Å) after each atom.
Positions (direct):
Na 0.0000 0.0000 0.0000  6 Se 2.95
Na 0.3333 0.6667 0.6667  6 Se 2.95
Na 0.6667 0.3333 0.3333  6 Se 2.95
Se 0.0000 0.0000 0.4078  1 Br 2.51
Se 0.0000 0.0000 0.5922  1 Br 2.51
Se 0.3333 0.6667 0.0745  1 Br 2.51
Se 0.3333 0.6667 0.2589  1 Br 2.51
Se 0.6667 0.3333 0.7411  1 Br 2.51
Se 0.6667 0.3333 0.9255  1 Br 2.51
Br 0.0000 0.0000 0.5000  2 Se 2.51
Br 0.3333 0.6667 0.1667  2 Se 2.51
Br 0.6667 0.3333 0.8333  2 Se 2.51

---

NaSe2Br2: relaxed, PBE.

a = 3.8001 Å, b = 3.8001 Å, c = 20.9216 Å
α = 90.00°, β = 90.00°, γ = 90.00°
With the nearest neighbours (Å) after each atom.
Positions (direct):
Na 0.0000 0.0000 0.0000  8 Br 3.06
Na 0.5000 0.5000 0.5000  8 Br 3.06
Se 0.0000 0.5000 0.2500  4 Se 2.69
Se 0.0000 0.5000 0.7500  4 Se 2.69
Se 0.5000 0.0000 0.2500  4 Se 2.69
Se 0.5000 0.0000 0.7500  4 Se 2.69
Br 0.0000 0.0000 0.4298  1 Br 2.94, 4 Na 3.06
Br 0.0000 0.0000 0.5702  1 Br 2.94, 4 Na 3.06
Br 0.5000 0.5000 0.0702  1 Br 2.94, 4 Na 3.06
Br 0.5000 0.5000 0.9298  1 Br 2.94, 4 Na 3.06

---

Na2SeBr: relaxed, PBE.

a = 7.9512 Å, b = 7.9512 Å, c = 6.5307 Å
α = 90.00°, β = 90.00°, γ = 90.00°
With the nearest neighbours (Å) after each atom.
Positions (direct):
Na 0.2434 0.2500 0.1250  2 Se 2.89, 2 Br 2.96
Na 0.2500 0.7434 0.3750  2 Se 2.89, 2 Br 2.96
Na 0.2500 0.7566 0.8750  2 Se 2.89, 2 Br 2.96
Na 0.2566 0.2500 0.6250  2 Se 2.89, 2 Br 2.96
Na 0.7434 0.7500 0.6250  2 Se 2.89, 2 Br 2.96
Na 0.7500 0.2434 0.8750  2 Se 2.89, 2 Br 2.96
Na 0.7500 0.2566 0.3750  2 Se 2.89, 2 Br 2.96
Na 0.7566 0.7500 0.1250  2 Se 2.89, 2 Br 2.96
Se 0.0000 0.0000 0.0000  4 Na 2.89
Se 0.0000 0.5000 0.2500  4 Na 2.89
Se 0.5000 0.0000 0.7500  4 Na 2.89
Se 0.5000 0.5000 0.5000  4 Na 2.89
Br 0.0000 0.0000 0.5000  4 Na 2.96, 2 Se 3.27
Br 0.0000 0.5000 0.7500  4 Na 2.96, 2 Se 3.27
Br 0.5000 0.0000 0.2500  4 Na 2.96, 2 Se 3.27
Br 0.5000 0.5000 0.0000  4 Na 2.96, 2 Se 3.27

---

NaSiSe2Br: relaxed, PBE.

a = 4.8233 Å, b = 4.8233 Å, c = 5.6256 Å
α = 90.00°, β = 90.00°, γ = 90.00°
With the nearest neighbours (Å) after each atom.
Positions (direct):
Na 0.0000 0.0000 0.0000  4 Br 3.41, 8 Se 3.71
Si 0.5000 0.5000 0.5000  4 Se 2.41
Se 0.0000 0.5000 0.5000  2 Si 2.41
Se 0.5000 0.0000 0.5000  2 Si 2.41
Br 0.5000 0.5000 0.0000  2 Si 2.81

---

NaSiSe2Br: relaxed, PBE.

a = 5.1289 Å, b = 5.1289 Å, c = 5.2580 Å
α = 90.00°, β = 90.00°, γ = 90.00°
With the nearest neighbours (Å) after each atom.
Positions (direct):
Na 0.0000 0.0000 0.0000  4 Se 2.56, 2 Br 2.63
Si 0.5000 0.5000 0.5000  4 Br 3.63, 8 Se 3.67
Se 0.0000 0.5000 0.0000  2 Na 2.56
Se 0.5000 0.0000 0.0000  2 Na 2.56
Br 0.0000 0.0000 0.5000  2 Na 2.63

---

NaSiSe2Br: relaxed, PBE.

a = 5.5182 Å, b = 5.5182 Å, c = 4.8980 Å
α = 90.00°, β = 90.00°, γ = 90.00°
With the nearest neighbours (Å) after each atom.
Positions (direct):
Na 0.0000 0.0000 0.0000  8 Se 3.69, 4 Si 3.90
Si 0.5000 0.5000 0.0000  2 Br 2.45
Se 0.0000 0.5000 0.5000  2 Br 2.76
Se 0.5000 0.0000 0.5000  2 Br 2.76
Br 0.5000 0.5000 0.5000  2 Si 2.45

---

NaSnSe2Br: relaxed, PBE.

a = 5.2842 Å, b = 5.2842 Å, c = 5.8165 Å
α = 90.00°, β = 90.00°, γ = 90.00°
With the nearest neighbours (Å) after each atom.
Positions (direct):
Na 0.0000 0.0000 0.0000  4 Br 3.74, 8 Se 3.93
Sn 0.5000 0.5000 0.5000  4 Se 2.64, 2 Br 2.91
Se 0.0000 0.5000 0.5000  2 Sn 2.64
Se 0.5000 0.0000 0.5000  2 Sn 2.64
Br 0.5000 0.5000 0.0000  2 Sn 2.91

---

NaSnSe2Br: relaxed, PBE.

a = 5.1253 Å, b = 5.1253 Å, c = 5.4479 Å
α = 90.00°, β = 90.00°, γ = 90.00°
With the nearest neighbours (Å) after each atom.
Positions (direct):
Na 0.0000 0.0000 0.0000  4 Se 2.56, 2 Br 2.72
Sn 0.5000 0.5000 0.5000  4 Br 3.62, 8 Se 3.74
Se 0.0000 0.5000 0.0000  2 Na 2.56
Se 0.5000 0.0000 0.0000  2 Na 2.56
Br 0.0000 0.0000 0.5000  2 Na 2.72

---

NaSnSeBr2: relaxed, PBE.

a = 5.7267 Å, b = 5.7267 Å, c = 5.2655 Å
α = 90.00°, β = 90.00°, γ = 90.00°
With the nearest neighbours (Å) after each atom.
Positions (direct):
Na 0.0000 0.0000 0.0000  8 Br 3.89, 4 Se 4.05
Sn 0.5000 0.5000 0.5000  2 Se 2.63, 4 Br 2.86
Se 0.5000 0.5000 0.0000  2 Sn 2.63
Br 0.0000 0.5000 0.5000  2 Sn 2.86
Br 0.5000 0.0000 0.5000  2 Sn 2.86

---

NaSnSeBr2: relaxed, PBE.

a = 5.2280 Å, b = 5.2280 Å, c = 5.4979 Å
α = 90.00°, β = 90.00°, γ = 90.00°
With the nearest neighbours (Å) after each atom.
Positions (direct):
Na 0.0000 0.0000 0.0000  4 Br 2.61, 2 Se 2.75
Sn 0.5000 0.5000 0.5000  4 Se 3.70, 8 Br 3.79
Se 0.0000 0.0000 0.5000  2 Na 2.75
Br 0.0000 0.5000 0.0000  2 Na 2.61
Br 0.5000 0.0000 0.0000  2 Na 2.61

---

NaSrSeBr2: relaxed, PBE.

a = 5.3013 Å, b = 5.3013 Å, c = 5.5252 Å
α = 90.00°, β = 90.00°, γ = 90.00°
With the nearest neighbours (Å) after each atom.
Positions (direct):
Na 0.0000 0.0000 0.0000  4 Br 2.65, 2 Se 2.76
Sr 0.5000 0.5000 0.5000  4 Se 3.75, 8 Br 3.83
Se 0.0000 0.0000 0.5000  2 Na 2.76
Br 0.0000 0.5000 0.0000  2 Na 2.65
Br 0.5000 0.0000 0.0000  2 Na 2.65

---

NaSrSeBr2: relaxed, PBE.

a = 5.9619 Å, b = 5.9619 Å, c = 6.0367 Å
α = 90.00°, β = 90.00°, γ = 90.00°
With the nearest neighbours (Å) after each atom.
Positions (direct):
Na 0.0000 0.0000 0.0000  4 Se 4.22, 8 Br 4.24
Sr 0.5000 0.5000 0.5000  4 Br 2.98, 2 Se 3.02
Se 0.5000 0.5000 0.0000  2 Sr 3.02
Br 0.0000 0.5000 0.5000  2 Sr 2.98
Br 0.5000 0.0000 0.5000  2 Sr 2.98

---

Short version: magnetization = 0.0, 1.0, 0.0, 0.0, 0.0, 0.0, 0.0, 0.0, 0.0, 1.0, 1.0, 1.0 μB per formula unit, in the order given.
Short version: E_form (uncorrected) = -0.14, -1.83, -3.54, -1.72, 3.27, 2.80, -2.09, 0.51, -3.23, -1.09, -5.49, -5.88 eV/f.u., in the order given.